No. 1
A relaxed structure of MgCoSe, computed with PBE.

a = 5.4332 Å, b = 5.4332 Å, c = 5.4332 Å
α = 146.29°, β = 146.29°, γ = 48.42°
Last column: nearest neighbours and their distance in Å.
Positions (direct):
Co 0.0251 0.0251 0.0000  4 Se 2.46
Se 0.6312 0.6312 0.0000  4 Co 2.46
Mg 0.3437 0.3437 0.0000  5 Se 2.85-3.07, 5 Co 2.86-3.16, 4 Mg 3.15

Summary:
For the density of states at the Fermi level, the calculation gives 0.82 states/eV/atom. For the total moment, the calculation gives 0.872 μB per formula unit. As for the energy relative to the elements, uncorrected: -0.088 eV per atom. The energy above the most stable polymorph in this dataset is 0.230 eV/atom.

---

No. 2
A relaxed structure of Nd6HoIn4, computed with PBE.

a = 8.2447 Å, b = 8.2447 Å, c = 8.2447 Å
α = 85.61°, β = 122.57°, γ = 122.57°
Last column: nearest neighbours and their distance in Å.
Positions (direct):
Nd 0.3797 0.4721 0.4721  4 In 3.11-3.45
Nd 0.5000 0.5000 0.0000  4 In 3.08
Nd 0.6203 0.0925 0.0925  4 In 3.11-3.45
Nd 0.0000 0.5279 0.9075  4 In 3.11-3.45
Nd 0.5000 0.0000 0.5000  4 In 3.08
Nd 0.0000 0.9075 0.5279  4 In 3.11-3.45
In 0.6794 0.4060 0.4060  2 In 3.00, 5 Nd 3.08-3.33
In 0.0000 0.2734 0.5940  2 In 3.00, 5 Nd 3.08-3.33
In 0.0000 0.5940 0.2734  2 In 3.00, 5 Nd 3.08-3.33
In 0.3206 0.7266 0.7266  2 In 3.00, 5 Nd 3.08-3.33
Ho 0.0000 0.0000 0.0000  4 In 3.89, 8 Nd 3.96-4.02

Summary:
For the density of states at the Fermi level, the calculation gives 1.26 states/eV/atom. For the total moment, the calculation gives 0.000 μB per formula unit.

---

Number 1: total energy -4.1500 eV/atom. Number 2: total energy -4.1376 eV/atom.